No. 1
The following is a DFT calculation (PBE-GGA) of an optimized crystal structure of ZrTlSi.

As for the distance to the lowest polymorph of the same formula: 203.4 meV/atom. As for the calculated volume: 20.6 Å³ per atom. The size of the total moment is 0.000 μB/f.u. Its crystal system is hexagonal. The density comes out at 8.7 g cm⁻³.

The space group is P-6m2 (No. 187) and the conventional cell measures 4.8742, 4.8742 and 3.0050 Å, with angles of 90.00, 90.00 and 120.00 degrees. The asymmetric unit holds Zr at (0.0000, 0.0000, 0.0000), Tl at (0.3333, 0.6667, 0.5000) and Si at (0.6667, 0.3333, 0.5000).

No. 2
The following is a DFT calculation (PBE-GGA) of an optimized crystal structure of ZrTlSi.

As for the distance to the lowest polymorph of the same formula: 0.0 meV/atom. As for the calculated volume: 21.5 Å³ per atom. The size of the total moment is 0.000 μB/f.u. Its crystal system is orthorhombic. The density comes out at 8.3 g cm⁻³.

The space group is Imm2 (No. 44) and the conventional cell measures 3.1702, 3.7687 and 10.8072 Å, with angles of 90.00, 90.00 and 90.00 degrees. The asymmetric unit holds Zr at (0.0000, 0.0000, 0.0000), Tl at (0.0000, 0.0000, 0.7042) and Si at (0.0000, 0.0000, 0.3855).

No. 3
The following is a DFT calculation (PBE-GGA) of an optimized crystal structure of ZrTlSi.

As for the distance to the lowest polymorph of the same formula: 21.0 meV/atom. As for the calculated volume: 21.4 Å³ per atom. The size of the total moment is 0.000 μB/f.u. Its crystal system is orthorhombic. The density comes out at 8.4 g cm⁻³.

The space group is Fmm2 (No. 42) and the conventional cell measures 4.4136, 5.2761 and 11.0245 Å, with angles of 90.00, 90.00 and 90.00 degrees. The asymmetric unit holds Zr at (0.0000, 0.0000, 0.0000), Tl at (0.0000, 0.0000, 0.6974) and Si at (0.0000, 0.0000, 0.3670).

No. 4
The following is a DFT calculation (PBE-GGA) of an optimized crystal structure of ZrTl2Si.

As for the distance to the lowest polymorph of the same formula: 183.4 meV/atom. As for the calculated volume: 23.8 Å³ per atom. The size of the total moment is 0.000 μB/f.u. Its crystal system is trigonal. The density comes out at 9.2 g cm⁻³.

The space group is R3m (No. 160, hexagonal axes) and the conventional cell measures 3.3743, 3.3743 and 29.0178 Å, with angles of 90.00, 90.00 and 120.00 degrees. The asymmetric unit holds Zr at (0.0000, 0.0000, 0.0000), Tl at (0.0000, 0.0000, 0.5162), Tl at (0.0000, 0.0000, 0.7539) and Si at (0.0000, 0.0000, 0.2653).

No. 5
The following is a DFT calculation (PBE-GGA) of an optimized crystal structure of ZrTl2Si.

As for the distance to the lowest polymorph of the same formula: 213.5 meV/atom. As for the calculated volume: 22.5 Å³ per atom. The size of the total moment is 0.000 μB/f.u. Its crystal system is tetragonal. The density comes out at 9.7 g cm⁻³.

The space group is P4/mmm (No. 123) and the conventional cell measures 4.1558, 4.1558 and 5.2119 Å, with angles of 90.00, 90.00 and 90.00 degrees. The asymmetric unit holds Zr at (0.0000, 0.0000, 0.0000), Tl at (0.0000, 0.5000, 0.5000) and Si at (0.5000, 0.5000, 0.0000).

No. 6
The following is a DFT calculation (PBE-GGA) of an optimized crystal structure of Zr3TlSi.

As for the distance to the lowest polymorph of the same formula: 0.0 meV/atom. As for the calculated volume: 24.4 Å³ per atom. The size of the total moment is 0.000 μB/f.u. Its crystal system is cubic. The density comes out at 6.9 g cm⁻³.

The space group is Pm-3m (No. 221) and the conventional cell measures 4.9609, 4.9609 and 4.9609 Å, with angles of 90.00, 90.00 and 90.00 degrees. The asymmetric unit holds Zr at (0.0000, 0.0000, 0.5000), Tl at (0.5000, 0.5000, 0.5000) and Si at (0.0000, 0.0000, 0.0000).

No. 7
The following is a DFT calculation (PBE-GGA) of an optimized crystal structure of ZrTl2Si.

As for the distance to the lowest polymorph of the same formula: 387.3 meV/atom. As for the calculated volume: 23.1 Å³ per atom. The size of the total moment is 0.000 μB/f.u. Its crystal system is tetragonal. The density comes out at 9.5 g cm⁻³.

The space group is P4/mmm (No. 123) and the conventional cell measures 5.2863, 5.2863 and 3.3121 Å, with angles of 90.00, 90.00 and 90.00 degrees. The asymmetric unit holds Zr at (0.0000, 0.0000, 0.0000), Tl at (0.0000, 0.5000, 0.5000) and Si at (0.5000, 0.5000, 0.0000).

No. 8
The following is a DFT calculation (PBE-GGA) of an optimized crystal structure of Tm3Si4.

As for the calculated volume: 19.7 Å³ per atom. The size of the total moment is 0.000 μB/f.u. Its crystal system is orthorhombic. The density comes out at 7.5 g cm⁻³.

The space group is Cmcm (No. 63) and the conventional cell measures 3.9116, 10.3823 and 13.5784 Å, with angles of 90.00, 90.00 and 90.00 degrees. The asymmetric unit holds Tm at (0.0000, 0.0245, 0.2500), Tm at (0.0000, 0.3180, 0.0985), Si at (0.0000, 0.0000, 0.0000), Si at (0.0000, 0.2517, 0.7500) and Si at (0.0000, 0.3943, 0.6061).

No. 9
The following is a DFT calculation (PBE-GGA) of an optimized crystal structure of Tm3Si2.

As for the calculated volume: 22.6 Å³ per atom. The size of the total moment is 0.000 μB/f.u. Its crystal system is orthorhombic. The density comes out at 8.3 g cm⁻³.

The space group is Immm (No. 71) and the conventional cell measures 4.2937, 6.1648 and 8.5441 Å, with angles of 90.00, 90.00 and 90.00 degrees. The asymmetric unit holds Tm at (0.0000, 0.0000, 0.0000), Tm at (0.0000, 0.5000, 0.1994) and Si at (0.0000, 0.1996, 0.5000).

No. 10
The following is a DFT calculation (PBE-GGA) of an optimized crystal structure of Tm5Si4.

As for the calculated volume: 21.7 Å³ per atom. The size of the total moment is 0.000 μB/f.u. Its crystal system is monoclinic. The density comes out at 8.1 g cm⁻³.

The space group is C2/m (No. 12) and the conventional cell measures 10.4338, 4.2404 and 9.5284 Å, with angles of 90.00, 112.00 and 90.00 degrees. The asymmetric unit holds Tm at (0.0000, 0.0000, 0.0000), Tm at (0.1015, 0.0000, 0.3908), Tm at (0.2461, 0.0000, 0.8295), Si at (0.0464, 0.5000, 0.8294) and Si at (0.1186, 0.5000, 0.6080).

No. 11
The following is a DFT calculation (PBE-GGA) of an optimized crystal structure of TmSi3.

As for the calculated volume: 17.3 Å³ per atom. The size of the total moment is 0.000 μB/f.u. Its crystal system is cubic. The density comes out at 6.1 g cm⁻³.

The space group is Pm-3m (No. 221) and the conventional cell measures 4.1050, 4.1050 and 4.1050 Å, with angles of 90.00, 90.00 and 90.00 degrees. The asymmetric unit holds Tm at (0.0000, 0.0000, 0.0000) and Si at (0.0000, 0.5000, 0.5000).

No. 12
The following is a DFT calculation (PBE-GGA) of an optimized crystal structure of Tm4Si.

As for the calculated volume: 31.3 Å³ per atom. The size of the total moment is 0.010 μB/f.u. Its crystal system is cubic. The density comes out at 7.5 g cm⁻³.

The space group is Pm-3m (No. 221) and the conventional cell measures 5.3909, 5.3909 and 5.3909 Å, with angles of 90.00, 90.00 and 90.00 degrees. The asymmetric unit holds Tm at (0.0000, 0.0000, 0.0000), Tm at (0.0000, 0.5000, 0.5000) and Si at (0.5000, 0.5000, 0.5000).

No. 13
The following is a DFT calculation (PBE-GGA) of an optimized crystal structure of Tm5Si3.

As for the distance to the lowest polymorph of the same formula: 0.0 meV/atom. As for the calculated volume: 23.3 Å³ per atom. The size of the total moment is 0.000 μB/f.u. Its crystal system is hexagonal. The density comes out at 8.3 g cm⁻³.

The space group is P6_3/mcm (No. 193) and the conventional cell measures 8.3111, 8.3111 and 6.2370 Å, with angles of 90.00, 90.00 and 120.00 degrees. The asymmetric unit holds Tm at (0.0000, 0.2425, 0.2500), Tm at (0.3333, 0.6667, 0.0000) and Si at (0.0000, 0.3947, 0.7500).

No. 14
The following is a DFT calculation (PBE-GGA) of an optimized crystal structure of Tm5Si3.

As for the distance to the lowest polymorph of the same formula: 59.8 meV/atom. As for the calculated volume: 23.0 Å³ per atom. The size of the total moment is 0.001 μB/f.u. Its crystal system is tetragonal. The density comes out at 8.4 g cm⁻³.

The space group is I4/mcm (No. 140) and the conventional cell measures 7.4749, 7.4749 and 13.1952 Å, with angles of 90.00, 90.00 and 90.00 degrees. The asymmetric unit holds Tm at (0.0000, 0.0000, 0.0000), Tm at (0.1666, 0.3334, 0.1453), Si at (0.0000, 0.0000, 0.2500) and Si at (0.1299, 0.3701, 0.5000).

Energy relative to the elements, uncorrected (eV per atom)
0.207, 0.003, 0.024, 0.140, 0.170, 0.001, 0.344, -0.707, -0.632, -0.726, -0.180, 0.030, -0.706, -0.646